Material: DyNi2BiO6
Method: DFT, GGA+U
State: relaxed Values from VASP.

Structure (Quantum ESPRESSO input):
```
&SYSTEM
  ibrav = 0, nat = 10, ntyp = 4
/
ATOMIC_SPECIES
Dy 162.50 Dy.upf
Ni 58.69 Ni.upf
Bi 208.98 Bi.upf
O 16.00 O.upf
CELL_PARAMETERS angstrom
-1.124 4.407 2.976
-4.692 0.315 2.725
0.158 -0.491 5.749
ATOMIC_POSITIONS angstrom
Dy -4.582 3.506 7.967
Ni -2.946 2.230 5.510
Ni 0.055 -0.390 5.561
Bi -1.818 1.455 2.122
O -1.750 2.694 3.867
O -4.472 1.191 4.543
O -3.895 4.068 5.774
O -3.714 1.542 7.427
O -1.365 2.873 6.861
O -1.833 0.379 5.779
```

The value obtained for the volume is 123.94 Å³/cell. The value obtained for the total moment is 4.00 μB/f.u. The calculated density comes out at 7.836 Mg/m³. The symmetry is R3. The calculation puts the electronic total energy at -0.438 Ry/atom.